Crystalline NdTm2Mg3CdGa2 at its relaxed geometry, computed with GGA-PBE.

a b c (Å): 4.4940 7.3990 7.3990
angles (deg): 120.95 90.00 90.00
Element x y z (fractional)
Mg: 0.5000 0.0003 0.7521
Ga: 0.5000 0.3264 0.6673
Mg: 0.5000 0.2490 0.2490
Ga: 0.5000 0.6673 0.3264
Tm: 0.0000 0.4295 0.9970
Tm: 0.0000 0.9970 0.4295
Nd: 0.0000 0.5684 0.5684
Cd: 0.0000 0.0099 0.0099
Mg: 0.5000 0.7521 0.0003

Results
Volume (Å³/cell): 211.00
E (eV/atom): -3.23